Entry 1:
The following is a PBE calculation of UPd5Au2 after structural relaxation, from Alexandria.

The structure in POSCAR format:
```
UPd5Au2
1.0
4.349 0.000 0.000
-2.174 8.713 0.000
0.000 0.000 9.906
Pd Au U
10 4 2
Direct
0.033 0.065 0.117 Pd
0.742 0.484 0.250 Pd
0.266 0.532 0.076 Pd
0.033 0.065 0.383 Pd
0.734 0.468 0.576 Pd
0.258 0.516 0.750 Pd
0.266 0.532 0.424 Pd
0.734 0.468 0.924 Pd
0.967 0.935 0.617 Pd
0.967 0.935 0.883 Pd
0.125 0.250 0.602 Au
0.875 0.750 0.398 Au
0.125 0.250 0.898 Au
0.875 0.750 0.102 Au
0.152 0.303 0.250 U
0.848 0.697 0.750 U
```

Computed properties:
- DFT formation energy (eV per atom) = 0.163
- relative energy among the computed polymorphs (meV/atom) = 501
- ρ (g cm⁻³) = 10.30
- crystal system = orthorhombic
- symmetry = Cmcm, No. 63

Entry 2:
The following is a PBE calculation of SbPBr2 after structural relaxation, from Alexandria.

The structure in POSCAR format:
```
SbPBr2
1.0
6.208 -0.051 0.164
5.043 3.621 0.164
0.507 0.161 6.393
P Sb Br
1 1 2
Direct
0.404 0.404 0.495 P
0.833 0.833 0.756 Sb
0.021 0.021 0.921 Br
0.243 0.243 0.328 Br
```

Computed properties:
- formation energy without anion corrections (eV/atom) = -0.1969
- relative energy among the computed polymorphs (meV/atom) = 2
- ρ (g cm⁻³) = 3.58
- crystal system = monoclinic
- symmetry = Cm, No. 8

Entry 3:
The following is a PBE calculation of TlHCl2 after structural relaxation, from Alexandria.

The structure in POSCAR format:
```
TlHCl2
1.0
4.887 0.000 0.000
0.000 5.919 -3.282
0.000 0.713 9.131
Cl Tl H
4 2 2
Direct
0.250 0.243 0.145 Cl
0.750 0.240 0.646 Cl
0.750 0.757 0.855 Cl
0.250 0.760 0.354 Cl
0.250 0.984 0.776 Tl
0.750 0.016 0.224 Tl
0.250 0.537 0.262 H
0.750 0.463 0.738 H
```

Computed properties:
- relative energy among the computed polymorphs (meV/atom) = 0
- ρ (g cm⁻³) = 3.33
- crystal system = monoclinic
- symmetry = P2_1/m, No. 11

Entry 4:
The following is a PBE calculation of Pr2SmErTm2 after structural relaxation, from Alexandria.

The structure in POSCAR format:
```
Pr2SmErTm2
1.0
5.673 0.000 0.000
0.000 7.044 0.000
0.000 0.000 9.813
Pr Sm Tm Er
4 2 4 2
Direct
0.000 0.758 0.821 Pr
0.500 0.008 0.000 Pr
0.500 0.508 0.000 Pr
0.000 0.258 0.179 Pr
0.500 0.757 0.343 Sm
0.500 0.257 0.657 Sm
0.000 0.758 0.164 Tm
0.500 0.757 0.668 Tm
0.000 0.258 0.836 Tm
0.500 0.257 0.332 Tm
0.000 0.507 0.500 Er
0.000 0.007 0.500 Er
```

Computed properties:
- DFT formation energy (eV per atom) = 0.067
- ρ (g cm⁻³) = 7.94
- crystal system = orthorhombic
- symmetry = Pmma, No. 51

Entry 5:
The following is a PBE calculation of Er2MgAl3Au4 after structural relaxation, from Alexandria.

The structure in POSCAR format:
```
Er2MgAl3Au4
1.0
-2.750 -3.327 -0.282
3.049 -2.651 1.542
-3.391 1.949 10.055
Au Er Al Mg
4 2 3 1
Direct
0.000 0.000 0.000 Au
0.500 0.500 0.000 Au
0.000 0.500 0.357 Au
0.500 0.000 0.643 Au
0.500 0.000 0.240 Er
0.000 0.500 0.760 Er
0.000 0.500 0.130 Al
0.500 0.000 0.870 Al
0.000 0.000 0.500 Al
0.500 0.500 0.500 Mg
```

Computed properties:
- DFT formation energy (eV per atom) = -0.644
- ρ (g cm⁻³) = 10.10
- crystal system = tetragonal
- symmetry = P-4m2, No. 115

Entry 6:
The following is a PBE calculation of KSc2Pb after structural relaxation, from Alexandria.

The structure in POSCAR format:
```
KSc2Pb
1.0
-1.204 1.383 -5.779
4.698 -0.751 -3.759
-2.684 -3.429 4.220
K Pb Sc
1 1 2
Direct
0.500 0.500 0.000 K
0.750 0.250 0.500 Pb
0.250 0.750 0.500 Sc
0.000 0.000 0.000 Sc
```

Computed properties:
- DFT formation energy (eV per atom) = 0.262
- ρ (g cm⁻³) = 5.05
- crystal system = tetragonal
- symmetry = I-4m2, No. 119

Entry 7:
The following is a PBE calculation of Co2SCl after structural relaxation, from Alexandria.

The structure in POSCAR format:
```
Co2SCl
1.0
5.174 0.000 0.000
0.000 5.174 0.000
2.587 2.587 5.172
Cl Co S
2 4 2
Direct
0.750 0.250 0.500 Cl
0.000 0.000 0.000 Cl
0.875 0.847 0.750 Co
0.597 0.125 0.250 Co
0.375 0.403 0.750 Co
0.153 0.625 0.250 Co
0.500 0.500 0.000 S
0.250 0.750 0.500 S
```

Computed properties:
- formation energy without anion corrections (eV/atom) = -0.1152
- relative energy among the computed polymorphs (meV/atom) = 0
- ρ (g cm⁻³) = 4.45
- crystal system = tetragonal
- symmetry = I-42d, No. 122

Entry 8:
The following is a PBE calculation of AlHgSeBr2 after structural relaxation, from Alexandria.

The structure in POSCAR format:
```
AlHgSeBr2
1.0
-0.153 -4.745 -1.627
3.738 0.978 -3.202
3.480 -1.362 3.646
Se Al Br Hg
1 1 2 1
Direct
0.000 0.000 0.500 Se
0.000 0.000 0.000 Al
0.000 0.500 0.000 Br
0.500 0.000 0.000 Br
0.500 0.500 0.500 Hg
```

Computed properties:
- formation energy without anion corrections (eV/atom) = -0.3079
- relative energy among the computed polymorphs (meV/atom) = 0
- ρ (g cm⁻³) = 5.89
- crystal system = tetragonal
- symmetry = P4/mmm, No. 123

Entry 9:
The following is a PBE calculation of Ce3PmPr4Te8 after structural relaxation, from Alexandria.

The structure in POSCAR format:
```
Ce3PmPr4Te8
1.0
8.994 0.000 0.000
0.000 9.040 0.027
-4.497 -4.493 6.363
Pr Te Ce Pm
4 8 3 1
Direct
0.500 0.000 0.500 Pr
0.500 0.000 0.000 Pr
0.000 0.000 0.500 Pr
0.000 0.000 0.000 Pr
0.251 0.254 0.002 Te
0.749 0.746 0.998 Te
0.749 0.747 0.498 Te
0.752 0.254 0.002 Te
0.251 0.253 0.502 Te
0.752 0.254 0.503 Te
0.248 0.746 0.998 Te
0.248 0.746 0.497 Te
0.000 0.500 0.500 Ce
0.500 0.500 0.500 Ce
0.500 0.500 0.000 Ce
0.000 0.500 0.000 Pm
```

Computed properties:
- formation energy without anion corrections (eV/atom) = -1.4142
- ρ (g cm⁻³) = 6.89
- crystal system = trigonal
- symmetry = R-3m, No. 166

Entry 10:
The following is a PBE calculation of HfTiNb4 after structural relaxation, from Alexandria.

The structure in POSCAR format:
```
HfTiNb4
1.0
3.350 0.076 -0.017
1.773 5.059 1.761
-0.045 0.126 6.710
Hf Nb Ti
1 4 1
Direct
0.501 0.495 0.002 Hf
0.181 0.146 0.348 Nb
0.184 0.145 0.837 Nb
0.820 0.845 0.656 Nb
0.817 0.846 0.167 Nb
0.501 0.495 0.502 Ti
```

Computed properties:
- DFT formation energy (eV per atom) = 0.029
- relative energy among the computed polymorphs (meV/atom) = 0
- ρ (g cm⁻³) = 8.86
- crystal system = triclinic
- symmetry = P-1, No. 2

Entry 11:
The following is a PBE calculation of YSi2Ru2 after structural relaxation, from Alexandria.

The structure in POSCAR format:
```
YSi2Ru2
1.0
4.152 0.000 0.000
0.000 4.152 0.000
2.076 2.076 4.953
Ru Y Si
2 1 2
Direct
0.376 0.376 0.249 Ru
0.624 0.624 0.751 Ru
0.000 0.000 0.000 Y
0.250 0.750 0.500 Si
0.750 0.250 0.500 Si
```

Computed properties:
- formation energy without anion corrections (eV/atom) = -0.5940
- ρ (g cm⁻³) = 6.75
- crystal system = tetragonal
- symmetry = I4/mmm, No. 139

Entry 12:
The following is a PBE calculation of MgTlCo2Se after structural relaxation, from Alexandria.

The structure in POSCAR format:
```
MgTlCo2Se
1.0
4.391 0.000 0.000
0.000 6.039 0.000
0.000 0.000 4.391
Se Co Mg Tl
1 2 1 1
Direct
0.000 0.000 0.000 Se
0.500 0.000 0.000 Co
0.000 0.000 0.500 Co
0.500 0.500 0.500 Mg
0.000 0.500 0.000 Tl
```

Computed properties:
- formation energy without anion corrections (eV/atom) = 0.5435
- ρ (g cm⁻³) = 6.07
- crystal system = tetragonal
- symmetry = P4/mmm, No. 123

Entry 13:
The following is a PBE calculation of HoMn10Be2 after structural relaxation, from Alexandria.

The structure in POSCAR format:
```
HoMn10Be2
1.0
-2.213 5.597 -1.567
-0.064 -2.488 -5.700
-7.396 -2.584 1.211
Mn Ho Be
20 2 4
Direct
0.247 0.487 0.750 Mn
0.225 0.225 0.000 Mn
0.168 0.832 0.902 Mn
0.753 0.513 0.250 Mn
0.606 0.394 0.931 Mn
0.513 0.753 0.750 Mn
0.873 0.618 0.750 Mn
0.606 0.394 0.569 Mn
0.394 0.606 0.069 Mn
0.127 0.382 0.250 Mn
0.225 0.225 0.500 Mn
0.775 0.775 0.000 Mn
0.832 0.168 0.098 Mn
0.168 0.832 0.598 Mn
0.394 0.606 0.431 Mn
0.775 0.775 0.500 Mn
0.487 0.247 0.250 Mn
0.832 0.168 0.402 Mn
0.618 0.873 0.250 Mn
0.382 0.127 0.750 Mn
0.874 0.126 0.750 Ho
0.126 0.874 0.250 Ho
0.500 0.000 0.500 Be
0.000 0.500 0.000 Be
0.000 0.500 0.500 Be
0.500 0.000 0.000 Be
```

Computed properties:
- DFT formation energy (eV per atom) = -0.028
- ρ (g cm⁻³) = 7.99
- crystal system = orthorhombic
- symmetry = Cmcm, No. 63

Entry 14:
The following is a PBE calculation of SrCdCo2 after structural relaxation, from Alexandria.

The structure in POSCAR format:
```
SrCdCo2
1.0
3.200 0.000 0.000
0.000 3.200 0.000
0.000 0.000 7.631
Cd Co Sr
1 2 1
Direct
0.500 0.500 0.812 Cd
0.000 0.000 0.056 Co
0.500 0.500 0.167 Co
0.000 0.000 0.465 Sr
```

Computed properties:
- DFT formation energy (eV per atom) = 0.281
- ρ (g cm⁻³) = 6.75
- crystal system = tetragonal
- symmetry = P4mm, No. 99

Entry 15:
The following is a PBE calculation of CaIn6Pb12 after structural relaxation, from Alexandria.

The structure in POSCAR format:
```
CaIn6Pb12
1.0
-5.681 5.501 -2.701
-1.017 -4.640 -6.875
-5.947 -4.513 3.754
In Pb Ca
6 12 1
Direct
0.886 0.268 0.726 In
0.114 0.732 0.274 In
0.732 0.726 0.114 In
0.726 0.886 0.732 In
0.274 0.114 0.268 In
0.268 0.274 0.886 In
0.554 0.528 0.798 Pb
0.629 0.160 0.018 Pb
0.202 0.446 0.528 Pb
0.982 0.371 0.160 Pb
0.840 0.018 0.371 Pb
0.371 0.840 0.982 Pb
0.472 0.798 0.446 Pb
0.018 0.629 0.840 Pb
0.446 0.472 0.202 Pb
0.528 0.202 0.554 Pb
0.798 0.554 0.472 Pb
0.160 0.982 0.629 Pb
0.000 0.000 0.000 Ca
```

Computed properties:
- DFT formation energy (eV per atom) = -0.002
- ρ (g cm⁻³) = 9.15
- crystal system = trigonal
- symmetry = R-3, No. 148

Entry 16:
The following is a PBE calculation of Ca3Ni8Sn after structural relaxation, from Alexandria.

The structure in POSCAR format:
```
Ca3Ni8Sn
1.0
5.039 0.000 0.000
2.519 4.364 0.000
2.519 1.455 8.222
Ni Ca Sn
8 3 1
Direct
0.188 0.188 0.437 Ni
0.932 0.437 0.194 Ni
0.688 0.688 0.937 Ni
0.437 0.437 0.194 Ni
0.937 0.445 0.681 Ni
0.445 0.937 0.681 Ni
0.437 0.932 0.194 Ni
0.937 0.937 0.681 Ni
0.999 0.999 0.002 Ca
0.375 0.375 0.876 Ca
0.500 0.500 0.499 Ca
0.875 0.875 0.374 Sn
```

Computed properties:
- DFT formation energy (eV per atom) = -0.202
- ρ (g cm⁻³) = 6.51
- crystal system = trigonal
- symmetry = R3m, No. 160

Entry 17:
The following is a PBE calculation of Th3Zn7Pd4 after structural relaxation, from Alexandria.

The structure in POSCAR format:
```
Th3Zn7Pd4
1.0
4.256 0.000 1.074
1.557 7.425 2.800
0.116 0.153 8.510
Th Zn Pd
3 7 4
Direct
0.300 0.202 0.199 Th
0.000 0.500 0.500 Th
0.700 0.798 0.801 Th
0.000 0.000 0.000 Zn
0.324 0.836 0.516 Zn
0.135 0.645 0.084 Zn
0.865 0.355 0.916 Zn
0.497 0.199 0.806 Zn
0.503 0.801 0.194 Zn
0.676 0.164 0.484 Zn
0.884 0.895 0.336 Pd
0.659 0.461 0.221 Pd
0.341 0.539 0.779 Pd
0.116 0.105 0.664 Pd
```

Computed properties:
- DFT formation energy (eV per atom) = -0.544
- ρ (g cm⁻³) = 9.85
- crystal system = monoclinic
- symmetry = C2/m, No. 12

Entry 18:
The following is a PBE calculation of PmTe2PdO8 after structural relaxation, from Alexandria.

The structure in POSCAR format:
```
PmTe2PdO8
1.0
6.263 0.176 0.000
-2.620 5.691 0.000
-1.821 -2.933 5.228
Pm O Te Pd
1 8 2 1
Direct
0.000 0.000 0.000 Pm
0.391 0.084 0.307 O
0.314 0.505 0.191 O
0.916 0.609 0.693 O
0.776 0.084 0.693 O
0.877 0.686 0.191 O
0.314 0.123 0.809 O
0.495 0.686 0.809 O
0.916 0.224 0.307 O
0.500 0.500 0.000 Te
0.750 0.250 0.500 Te
0.250 0.750 0.500 Pd
```

Computed properties:
- formation energy without anion corrections (eV/atom) = -1.1461
- ρ (g cm⁻³) = 5.58
- crystal system = tetragonal
- symmetry = I-4m2, No. 119

Entry 19:
The following is a PBE calculation of LaTe2PI after structural relaxation, from Alexandria.

The structure in POSCAR format:
```
LaTe2PI
1.0
5.430 0.000 0.000
0.000 5.430 0.000
0.000 0.000 5.235
Te P I La
2 1 1 1
Direct
0.500 0.000 0.000 Te
0.000 0.500 0.000 Te
0.000 0.000 0.000 P
0.000 0.000 0.500 I
0.500 0.500 0.500 La
```

Computed properties:
- formation energy without anion corrections (eV/atom) = -0.4123
- relative energy among the computed polymorphs (meV/atom) = 0
- ρ (g cm⁻³) = 5.94
- crystal system = tetragonal
- symmetry = P4/mmm, No. 123

Entry 20:
The following is a PBE calculation of GaCuSi after structural relaxation, from Alexandria.

The structure in POSCAR format:
```
GaCuSi
1.0
5.083 0.032 -0.018
1.757 6.791 -0.006
-0.678 0.179 2.593
Si Cu Ga
2 2 2
Direct
0.503 0.030 0.499 Si
0.996 0.045 0.247 Si
0.962 0.760 0.728 Cu
0.536 0.316 0.017 Cu
0.471 0.653 0.482 Ga
0.028 0.422 0.264 Ga
```

Computed properties:
- formation energy without anion corrections (eV/atom) = 0.1023
- ρ (g cm⁻³) = 6.00
- crystal system = triclinic
- symmetry = P-1, No. 2